Record 1
Density functional theory data (PBE) for Ni11W4 after structural relaxation.

abc: 8.9899 8.9899 4.6153
angles: 90.00 90.00 90.00
Positions (direct):
Ni  0.0000  0.0000  0.0000
Ni  0.0317  0.3681  0.5000
Ni  0.1011  0.1011  0.5000
Ni  0.1319  0.5317  0.0000
Ni  0.1753  0.8247  0.2515
Ni  0.1753  0.8247  0.7485
Ni  0.3247  0.3247  0.2485
Ni  0.3247  0.3247  0.7515
Ni  0.3681  0.0317  0.5000
Ni  0.3989  0.6011  0.0000
Ni  0.4683  0.8681  0.0000
Ni  0.5000  0.5000  0.5000
Ni  0.5317  0.1319  0.0000
Ni  0.6011  0.3989  0.0000
Ni  0.6319  0.9683  0.5000
Ni  0.6753  0.6753  0.2485
Ni  0.6753  0.6753  0.7515
Ni  0.8247  0.1753  0.2515
Ni  0.8247  0.1753  0.7485
Ni  0.8681  0.4683  0.0000
Ni  0.8989  0.8989  0.5000
Ni  0.9683  0.6319  0.5000
W  0.0644  0.2647  0.0000
W  0.2353  0.5644  0.5000
W  0.2647  0.0644  0.0000
W  0.4356  0.7647  0.5000
W  0.5644  0.2353  0.5000
W  0.7353  0.9356  0.0000
W  0.7647  0.4356  0.5000
W  0.9356  0.7353  0.0000

**Polymorph energy (0 for the lowest one)**: 0 meV per atom
**ΔE_f**: 0.10 eV/atom
**Total magnetic moment**: 0.0004 μB/atom
**Electronic total energy**: -7.441 eV/atom

---

Record 2
Density functional theory data (PBE) for NiW2 after structural relaxation.

abc: 5.0205 5.0205 8.0744
angles: 90.00 90.00 121.49
Positions (direct):
Ni  0.1624  0.3221  0.2500
Ni  0.3221  0.1624  0.7500
Ni  0.6779  0.8376  0.2500
Ni  0.8376  0.6779  0.7500
W  0.1616  0.8384  0.0725
W  0.1616  0.8384  0.4275
W  0.3176  0.6824  0.7500
W  0.5000  0.5000  0.0000
W  0.5000  0.5000  0.5000
W  0.6824  0.3176  0.2500
W  0.8384  0.1616  0.5725
W  0.8384  0.1616  0.9275

**Polymorph energy (0 for the lowest one)**: 104 meV per atom
**ΔE_f**: 0.17 eV/atom
**Total magnetic moment**: 0.0008 μB/atom
**Electronic total energy**: -10.331 eV/atom

---

Record 3
Density functional theory data (PBE) for Ni3W2 after structural relaxation.

abc: 9.1146 9.1146 4.7110
angles: 90.00 90.00 90.00
Positions (direct):
Ni  0.0000  0.0000  0.0000
Ni  0.0335  0.3716  0.5000
Ni  0.1284  0.5335  0.0000
Ni  0.1719  0.8281  0.2530
Ni  0.1719  0.8281  0.7470
Ni  0.3281  0.3281  0.2470
Ni  0.3281  0.3281  0.7530
Ni  0.3716  0.0335  0.5000
Ni  0.4665  0.8716  0.0000
Ni  0.5000  0.5000  0.5000
Ni  0.5335  0.1284  0.0000
Ni  0.6284  0.9665  0.5000
Ni  0.6719  0.6719  0.2470
Ni  0.6719  0.6719  0.7530
Ni  0.8281  0.1719  0.2530
Ni  0.8281  0.1719  0.7470
Ni  0.8716  0.4665  0.0000
Ni  0.9665  0.6284  0.5000
W  0.0667  0.2691  0.0000
W  0.1027  0.1027  0.5000
W  0.2309  0.5667  0.5000
W  0.2691  0.0667  0.0000
W  0.3973  0.6027  0.0000
W  0.4333  0.7691  0.5000
W  0.5667  0.2309  0.5000
W  0.6027  0.3973  0.0000
W  0.7309  0.9333  0.0000
W  0.7691  0.4333  0.5000
W  0.8973  0.8973  0.5000
W  0.9333  0.7309  0.0000

**Polymorph energy (0 for the lowest one)**: 0 meV per atom
**ΔE_f**: 0.07 eV/atom
**Total magnetic moment**: 0.0012 μB/atom
**Electronic total energy**: -8.450 eV/atom

---

Record 4
Density functional theory data (PBE) for NiW2 after structural relaxation.

abc: 5.1968 5.1968 8.2996
angles: 90.00 90.00 120.00
Positions (direct):
Ni  0.3333  0.6667  0.0656
Ni  0.3333  0.6667  0.4344
Ni  0.6667  0.3333  0.5656
Ni  0.6667  0.3333  0.9344
W  0.0000  0.0000  0.0000
W  0.0000  0.0000  0.5000
W  0.1710  0.3420  0.7500
W  0.1710  0.8290  0.7500
W  0.3420  0.1710  0.2500
W  0.6580  0.8290  0.7500
W  0.8290  0.1710  0.2500
W  0.8290  0.6580  0.2500

**Polymorph energy (0 for the lowest one)**: 710 meV per atom
**ΔE_f**: 0.77 eV/atom
**Total magnetic moment**: 0.0065 μB/atom
**Electronic total energy**: -9.725 eV/atom

---

Record 5
Density functional theory data (PBE) for Ni17W12 after structural relaxation.

abc: 7.9089 7.9089 7.9089
angles: 109.47 109.47 109.47
Positions (direct):
Ni  0.0000  0.0000  0.0000
Ni  0.0000  0.0000  0.6673
Ni  0.0000  0.1873  0.3679
Ni  0.0000  0.3679  0.1873
Ni  0.0000  0.6673  0.0000
Ni  0.1806  0.8127  0.8127
Ni  0.1873  0.0000  0.3679
Ni  0.1873  0.3679  0.0000
Ni  0.3327  0.3327  0.3327
Ni  0.3679  0.0000  0.1873
Ni  0.3679  0.1873  0.0000
Ni  0.6321  0.6321  0.8194
Ni  0.6321  0.8194  0.6321
Ni  0.6673  0.0000  0.0000
Ni  0.8127  0.1806  0.8127
Ni  0.8127  0.8127  0.1806
Ni  0.8194  0.6321  0.6321
W  0.0000  0.4048  0.6951
W  0.0000  0.6951  0.4048
W  0.2903  0.5952  0.5952
W  0.3049  0.3049  0.7097
W  0.3049  0.7097  0.3049
W  0.4048  0.0000  0.6951
W  0.4048  0.6951  0.0000
W  0.5952  0.2903  0.5952
W  0.5952  0.5952  0.2903
W  0.6951  0.0000  0.4048
W  0.6951  0.4048  0.0000
W  0.7097  0.3049  0.3049

**Polymorph energy (0 for the lowest one)**: 0 meV per atom
**ΔE_f**: 0.17 eV/atom
**Total magnetic moment**: 0.0061 μB/atom
**Electronic total energy**: -8.454 eV/atom

---

Record 6
Density functional theory data (PBE) for Ni2W13 after structural relaxation.

abc: 9.6770 9.6770 5.1409
angles: 90.00 90.00 90.00
Positions (direct):
Ni  0.0961  0.0961  0.0000
Ni  0.4039  0.5961  0.5000
Ni  0.5961  0.4039  0.5000
Ni  0.9039  0.9039  0.0000
W  0.0000  0.0000  0.5000
W  0.0374  0.3657  0.0000
W  0.0650  0.2621  0.5000
W  0.1343  0.5374  0.5000
W  0.1847  0.8153  0.2494
W  0.1847  0.8153  0.7506
W  0.2379  0.5650  0.0000
W  0.2621  0.0650  0.5000
W  0.3153  0.3153  0.2506
W  0.3153  0.3153  0.7494
W  0.3657  0.0374  0.0000
W  0.4350  0.7621  0.0000
W  0.4626  0.8657  0.5000
W  0.5000  0.5000  0.0000
W  0.5374  0.1343  0.5000
W  0.5650  0.2379  0.0000
W  0.6343  0.9626  0.0000
W  0.6847  0.6847  0.2506
W  0.6847  0.6847  0.7494
W  0.7379  0.9350  0.5000
W  0.7621  0.4350  0.0000
W  0.8153  0.1847  0.2494
W  0.8153  0.1847  0.7506
W  0.8657  0.4626  0.5000
W  0.9350  0.7379  0.5000
W  0.9626  0.6343  0.0000

**ΔE_f**: 0.34 eV/atom
**Total magnetic moment**: 0.0011 μB/atom
**Electronic total energy**: -11.638 eV/atom

---

Record 7
Density functional theory data (PBE) for Ni2W after structural relaxation.

abc: 8.8188 8.8188 4.9635
angles: 90.00 90.00 90.00
Positions (direct):
Ni  0.0393  0.3663  0.0000
Ni  0.0645  0.2687  0.5000
Ni  0.0979  0.0979  0.0000
Ni  0.1337  0.5393  0.5000
Ni  0.2313  0.5645  0.0000
Ni  0.2687  0.0645  0.5000
Ni  0.3663  0.0393  0.0000
Ni  0.4021  0.5979  0.5000
Ni  0.4355  0.7687  0.0000
Ni  0.4607  0.8663  0.5000
Ni  0.5393  0.1337  0.5000
Ni  0.5645  0.2313  0.0000
Ni  0.5979  0.4021  0.5000
Ni  0.6337  0.9607  0.0000
Ni  0.7313  0.9355  0.5000
Ni  0.7687  0.4355  0.0000
Ni  0.8663  0.4607  0.5000
Ni  0.9021  0.9021  0.0000
Ni  0.9355  0.7313  0.5000
Ni  0.9607  0.6337  0.0000
W  0.0000  0.0000  0.5000
W  0.1883  0.8117  0.2489
W  0.1883  0.8117  0.7511
W  0.3117  0.3117  0.2511
W  0.3117  0.3117  0.7489
W  0.5000  0.5000  0.0000
W  0.6883  0.6883  0.2511
W  0.6883  0.6883  0.7489
W  0.8117  0.1883  0.2489
W  0.8117  0.1883  0.7511

**ΔE_f**: 0.14 eV/atom
**Total magnetic moment**: 0.0008 μB/atom
**Electronic total energy**: -7.887 eV/atom

---

Record 8
Density functional theory data (PBE) for Ni4W9 after structural relaxation.

abc: 9.4257 9.4257 9.4257
angles: 31.74 31.74 31.74
Positions (direct):
Ni  0.0474  0.0474  0.0474
Ni  0.1504  0.1504  0.1504
Ni  0.8496  0.8496  0.8496
Ni  0.9526  0.9526  0.9526
W  0.0842  0.5890  0.5890
W  0.3323  0.3323  0.3323
W  0.4110  0.4110  0.9158
W  0.4110  0.9158  0.4110
W  0.5000  0.5000  0.5000
W  0.5890  0.0842  0.5890
W  0.5890  0.5890  0.0842
W  0.6677  0.6677  0.6677
W  0.9158  0.4110  0.4110

**Polymorph energy (0 for the lowest one)**: 144 meV per atom
**ΔE_f**: 0.52 eV/atom
**Total magnetic moment**: 0.0012 μB/atom
**Electronic total energy**: -10.164 eV/atom

---

Record 9
Density functional theory data (PBE) for NiW2 after structural relaxation.

abc: 9.4658 9.4658 4.9372
angles: 90.00 90.00 90.00
Positions (direct):
Ni  0.0000  0.0000  0.0000
Ni  0.1818  0.1818  0.2499
Ni  0.1818  0.1818  0.7501
Ni  0.3182  0.6818  0.2501
Ni  0.3182  0.6818  0.7499
Ni  0.5000  0.5000  0.5000
Ni  0.6818  0.3182  0.2501
Ni  0.6818  0.3182  0.7499
Ni  0.8182  0.8182  0.2499
Ni  0.8182  0.8182  0.7501
W  0.0346  0.6341  0.5000
W  0.0623  0.7452  0.0000
W  0.0993  0.9007  0.5000
W  0.1341  0.4654  0.0000
W  0.2452  0.4377  0.5000
W  0.2548  0.9377  0.0000
W  0.3659  0.9654  0.5000
W  0.4007  0.4007  0.0000
W  0.4377  0.2452  0.5000
W  0.4654  0.1341  0.0000
W  0.5346  0.8659  0.0000
W  0.5623  0.7548  0.5000
W  0.5993  0.5993  0.0000
W  0.6341  0.0346  0.5000
W  0.7452  0.0623  0.0000
W  0.7548  0.5623  0.5000
W  0.8659  0.5346  0.0000
W  0.9007  0.0993  0.5000
W  0.9377  0.2548  0.0000
W  0.9654  0.3659  0.5000

**Polymorph energy (0 for the lowest one)**: 169 meV per atom
**ΔE_f**: 0.23 eV/atom
**Total magnetic moment**: 0.0141 μB/atom
**Electronic total energy**: -10.266 eV/atom

---

Record 10
Density functional theory data (PBE) for Ni4W9 after structural relaxation.

abc: 9.3985 9.3985 9.3985
angles: 32.05 32.05 32.05
Positions (direct):
Ni  0.1545  0.1545  0.1545
Ni  0.3330  0.3330  0.3330
Ni  0.6670  0.6670  0.6670
Ni  0.8455  0.8455  0.8455
W  0.0471  0.0471  0.0471
W  0.0841  0.5884  0.5884
W  0.4116  0.4116  0.9159
W  0.4116  0.9159  0.4116
W  0.5000  0.5000  0.5000
W  0.5884  0.0841  0.5884
W  0.5884  0.5884  0.0841
W  0.9159  0.4116  0.4116
W  0.9529  0.9529  0.9529

**Polymorph energy (0 for the lowest one)**: 265 meV per atom
**ΔE_f**: 0.64 eV/atom
**Total magnetic moment**: 0.0035 μB/atom
**Electronic total energy**: -10.042 eV/atom

---

Record 11
Density functional theory data (PBE) for Ni4W11 after structural relaxation.

abc: 9.5681 9.5681 4.9836
angles: 90.00 90.00 90.00
Positions (direct):
Ni  0.1819  0.1819  0.2494
Ni  0.1819  0.1819  0.7506
Ni  0.3181  0.6819  0.2506
Ni  0.3181  0.6819  0.7494
Ni  0.6819  0.3181  0.2506
Ni  0.6819  0.3181  0.7494
Ni  0.8181  0.8181  0.2494
Ni  0.8181  0.8181  0.7506
W  0.0000  0.0000  0.5000
W  0.0375  0.6345  0.0000
W  0.0663  0.7371  0.5000
W  0.0984  0.9016  0.0000
W  0.1345  0.4625  0.5000
W  0.2371  0.4337  0.0000
W  0.2629  0.9337  0.5000
W  0.3655  0.9625  0.0000
W  0.4016  0.4016  0.5000
W  0.4337  0.2371  0.0000
W  0.4625  0.1345  0.5000
W  0.5000  0.5000  0.0000
W  0.5375  0.8655  0.5000
W  0.5663  0.7629  0.0000
W  0.5984  0.5984  0.5000
W  0.6345  0.0375  0.0000
W  0.7371  0.0663  0.5000
W  0.7629  0.5663  0.0000
W  0.8655  0.5375  0.5000
W  0.9016  0.0984  0.0000
W  0.9337  0.2629  0.5000
W  0.9625  0.3655  0.0000

**Polymorph energy (0 for the lowest one)**: 194 meV per atom
**ΔE_f**: 0.27 eV/atom
**Total magnetic moment**: 0.0367 μB/atom
**Electronic total energy**: -10.719 eV/atom

---

Record 12
Density functional theory data (PBE) for Ni7W6 after structural relaxation.

abc: 8.8354 8.8354 8.8354
angles: 33.52 33.52 33.52
Positions (direct):
Ni  0.0000  0.0000  0.0000
Ni  0.1652  0.1652  0.1652
Ni  0.3541  0.3541  0.3541
Ni  0.4539  0.4539  0.4539
Ni  0.5461  0.5461  0.5461
Ni  0.6459  0.6459  0.6459
Ni  0.8348  0.8348  0.8348
W  0.0901  0.0901  0.5831
W  0.0901  0.5831  0.0901
W  0.4169  0.9099  0.9099
W  0.5831  0.0901  0.0901
W  0.9099  0.4169  0.9099
W  0.9099  0.9099  0.4169

**Polymorph energy (0 for the lowest one)**: 444 meV per atom
**ΔE_f**: 0.43 eV/atom
**Total magnetic moment**: 0.0004 μB/atom
**Electronic total energy**: -8.551 eV/atom

---

Record 13
Density functional theory data (PBE) for NiW12 after structural relaxation.

abc: 9.7003 9.7003 9.7003
angles: 30.67 30.67 30.67
Positions (direct):
Ni  0.0000  0.0000  0.0000
W  0.0924  0.0924  0.5893
W  0.0924  0.5893  0.0924
W  0.1663  0.1663  0.1663
W  0.3509  0.3509  0.3509
W  0.4107  0.9076  0.9076
W  0.4550  0.4550  0.4550
W  0.5450  0.5450  0.5450
W  0.5893  0.0924  0.0924
W  0.6491  0.6491  0.6491
W  0.8337  0.8337  0.8337
W  0.9076  0.4107  0.9076
W  0.9076  0.9076  0.4107

**ΔE_f**: 0.30 eV/atom
**Total magnetic moment**: 0.0006 μB/atom
**Electronic total energy**: -12.094 eV/atom

---

Record 14
Density functional theory data (PBE) for Ni4W11 after structural relaxation.

abc: 9.4398 9.4398 4.9547
angles: 90.00 90.00 90.00
Positions (direct):
Ni  0.0692  0.2594  0.0000
Ni  0.2406  0.5692  0.5000
Ni  0.2594  0.0692  0.0000
Ni  0.4308  0.7594  0.5000
Ni  0.5692  0.2406  0.5000
Ni  0.7406  0.9308  0.0000
Ni  0.7594  0.4308  0.5000
Ni  0.9308  0.7406  0.0000
W  0.0000  0.0000  0.0000
W  0.0369  0.3714  0.5000
W  0.1033  0.1033  0.5000
W  0.1286  0.5369  0.0000
W  0.1862  0.8138  0.2484
W  0.1862  0.8138  0.7516
W  0.3138  0.3138  0.2516
W  0.3138  0.3138  0.7484
W  0.3714  0.0369  0.5000
W  0.3967  0.6033  0.0000
W  0.4631  0.8714  0.0000
W  0.5000  0.5000  0.5000
W  0.5369  0.1286  0.0000
W  0.6033  0.3967  0.0000
W  0.6286  0.9631  0.5000
W  0.6862  0.6862  0.2516
W  0.6862  0.6862  0.7484
W  0.8138  0.1862  0.2484
W  0.8138  0.1862  0.7516
W  0.8714  0.4631  0.0000
W  0.8967  0.8967  0.5000
W  0.9631  0.6286  0.5000

**Polymorph energy (0 for the lowest one)**: 0 meV per atom
**ΔE_f**: 0.08 eV/atom
**Total magnetic moment**: 0.0001 μB/atom
**Electronic total energy**: -10.913 eV/atom